Below is a crystal of Li2TaCu relaxed with PBEsol, with properties calculated at the SCAN level.

Unit cell a=2.5475 b=4.7785 c=5.6250 alpha=114.50 beta=101.97 gamma=92.56
Closest atoms and distances in Å follow each position.
Sites, in units of the cell vectors:
Cu (0.0000, 0.5000, 0.0000)  2 Cu 2.55, 4 Ta 2.66-2.76, 4 Li 2.84
Li (0.0000, 0.0000, 0.5000)  6 Li 2.55-2.76, 2 Ta 2.84, 2 Cu 2.84
Li (0.5000, 0.5000, 0.5000)  6 Li 2.55-2.76, 2 Cu 2.84, 2 Ta 2.84
Ta (0.5000, 0.0000, 0.0000)  2 Ta 2.55, 4 Cu 2.66-2.76, 4 Li 2.84

size of the total moment = 0.0 μB/f.u.
V = 60 Å³ per cell
distance to the lowest polymorph of the same formula = 125 meV/atom
energy of formation = 0.33 eV per atom
ρ = 7.12 g cm⁻³
DFT total energy = -21.31 eV/atom